Record 1
A relaxed YHoAg2Pb2 crystal, computed with PBE.

Lattice parameters (Å, degrees): 4.804 4.804 7.442 90.00 90.00 120.00
Positions (direct):
Y 0.000 0.000 0.000
Ho 0.000 0.000 0.500
Ag 0.333 0.667 0.685
Ag 0.667 0.333 0.188
Pb 0.333 0.667 0.281
Pb 0.667 0.333 0.779

Calculated values
Final energy   -26.57 eV/cell
SG   P3m1

Record 2
A relaxed HoSi2AgPd crystal, computed with PBE.

Lattice parameters (Å, degrees): 4.123 4.123 10.322 90.00 90.00 90.00
Positions (direct):
Ho 0.000 0.000 0.000
Ho 0.500 0.500 0.500
Si 0.000 0.000 0.389
Si 0.000 0.000 0.611
Si 0.500 0.500 0.111
Si 0.500 0.500 0.889
Ag 0.000 0.500 0.250
Ag 0.500 0.000 0.750
Pd 0.000 0.500 0.750
Pd 0.500 0.000 0.250

Calculated values
Final energy   -53.37 eV/cell
SG   I-4m2

Record 3
A relaxed HoTm2Tl3AgPd2 crystal, computed with PBE.

Lattice parameters (Å, degrees): 3.721 7.905 7.905 120.03 90.00 90.00
Positions (direct):
Ho 0.000 0.000 0.000
Tm 0.000 0.405 0.810
Tm 0.000 0.810 0.405
Tl 0.500 0.129 0.405
Tl 0.500 0.405 0.129
Tl 0.500 0.680 0.680
Ag 0.000 0.405 0.405
Pd 0.500 0.072 0.736
Pd 0.500 0.736 0.072

Calculated values
Final energy   -38.61 eV/cell
SG   Amm2

Record 4
A relaxed Ho2TmTl3AgPd2 crystal, computed with PBE.

Lattice parameters (Å, degrees): 3.735 7.909 7.909 119.97 90.00 90.00
Positions (direct):
Ho 0.000 0.203 0.797
Ho 0.000 0.797 0.203
Tm 0.000 0.609 0.609
Tl 0.500 0.203 0.478
Tl 0.500 0.478 0.203
Tl 0.500 0.928 0.928
Ag 0.000 0.203 0.203
Pd 0.500 0.536 0.868
Pd 0.500 0.868 0.536

Calculated values
Final energy   -38.75 eV/cell
SG   Amm2

Record 5
A relaxed Y2HoTl3AgPd2 crystal, computed with PBE.

Lattice parameters (Å, degrees): 3.767 7.922 7.922 119.87 90.00 90.00
Positions (direct):
Y 0.000 0.203 0.797
Y 0.000 0.797 0.203
Ho 0.000 0.610 0.610
Tl 0.500 0.203 0.477
Tl 0.500 0.477 0.203
Tl 0.500 0.929 0.929
Ag 0.000 0.204 0.204
Pd 0.500 0.537 0.867
Pd 0.500 0.867 0.537

Calculated values
Final energy   -42.76 eV/cell
SG   Amm2

Record 6
A relaxed PmHoAg2 crystal, computed with PBE.

Lattice parameters (Å, degrees): 3.626 3.626 7.440 90.00 90.00 90.00
Positions (direct):
Pm 0.000 0.000 0.000
Ho 0.000 0.000 0.500
Ag 0.500 0.500 0.268
Ag 0.500 0.500 0.732

Calculated values
Energy of formation from the pure elements   -1.2 eV/f.u.
SG   P4/mmm

Record 7
A relaxed PrHoAg2 crystal, computed with PBE.

Lattice parameters (Å, degrees): 3.643 3.643 7.533 90.00 90.00 90.00
Positions (direct):
Pr 0.000 0.000 0.000
Ho 0.000 0.000 0.500
Ag 0.500 0.500 0.274
Ag 0.500 0.500 0.726

Calculated values
Energy of formation from the pure elements   -1.2 eV/f.u.
SG   P4/mmm

Record 8
A relaxed PrHoAg crystal, computed with PBE.

Lattice parameters (Å, degrees): 7.118 7.118 7.118 90.00 90.00 90.00
Positions (direct):
Pr 0.000 0.000 0.000
Pr 0.000 0.500 0.500
Pr 0.500 0.000 0.500
Pr 0.500 0.500 0.000
Ho 0.250 0.250 0.250
Ho 0.250 0.750 0.750
Ho 0.750 0.250 0.750
Ho 0.750 0.750 0.250
Ag 0.250 0.250 0.750
Ag 0.250 0.750 0.250
Ag 0.750 0.250 0.250
Ag 0.750 0.750 0.750

Calculated values
Energy of formation from the pure elements   1.6 eV/f.u.
SG   F-43m

Record 9
A relaxed PrHoAg2Sb4 crystal, computed with PBE.

Lattice parameters (Å, degrees): 4.379 4.379 10.505 90.00 90.00 90.00
Positions (direct):
Pr 0.000 0.000 0.000
Ho 0.500 0.500 0.475
Ag 0.000 0.500 0.730
Ag 0.500 0.000 0.730
Sb 0.000 0.000 0.550
Sb 0.000 0.500 0.243
Sb 0.500 0.000 0.243
Sb 0.500 0.500 0.912

Calculated values
Final energy   -36.64 eV/cell
SG   P4mm

Record 10
A relaxed PrHoAg2Sn2 crystal, computed with PBE.

Lattice parameters (Å, degrees): 4.766 4.766 7.492 90.00 90.00 120.00
Positions (direct):
Pr 0.000 0.000 0.000
Ho 0.000 0.000 0.502
Ag 0.333 0.667 0.212
Ag 0.667 0.333 0.685
Sn 0.333 0.667 0.773
Sn 0.667 0.333 0.285

Calculated values
Final energy   -26.65 eV/cell
SG   P3m1

Record 11
A relaxed HoAgPt crystal, computed with PBE.

Lattice parameters (Å, degrees): 6.594 6.594 6.594 90.00 90.00 90.00
Positions (direct):
Ho 0.000 0.000 0.000
Ho 0.000 0.500 0.500
Ho 0.500 0.000 0.500
Ho 0.500 0.500 0.000
Ag 0.250 0.250 0.750
Ag 0.250 0.750 0.250
Ag 0.750 0.250 0.250
Ag 0.750 0.750 0.750
Pt 0.250 0.250 0.250
Pt 0.250 0.750 0.750
Pt 0.750 0.250 0.750
Pt 0.750 0.750 0.250

Calculated values
Energy of formation from the pure elements   -1.1 eV/f.u.
Offset from the most stable computed form   0.3248 eV/atom
SG   F-43m

Record 12
A relaxed Tb2HoTl3AgPt2 crystal, computed with PBE.

Lattice parameters (Å, degrees): 3.775 7.932 7.932 119.90 90.00 90.00
Positions (direct):
Tb 0.000 0.205 0.795
Tb 0.000 0.795 0.205
Ho 0.000 0.384 0.384
Tl 0.500 0.065 0.065
Tl 0.500 0.525 0.795
Tl 0.500 0.795 0.525
Ag 0.000 0.795 0.795
Pt 0.500 0.130 0.461
Pt 0.500 0.461 0.130

Calculated values
Final energy   -41.82 eV/cell
SG   Amm2

Record 13
A relaxed HoTm2Tl3AgPt2 crystal, computed with PBE.

Lattice parameters (Å, degrees): 3.723 7.907 7.907 120.11 90.00 90.00
Positions (direct):
Ho 0.000 0.000 0.000
Tm 0.000 0.410 0.820
Tm 0.000 0.820 0.410
Tl 0.500 0.138 0.410
Tl 0.500 0.410 0.138
Tl 0.500 0.681 0.681
Ag 0.000 0.410 0.410
Pt 0.500 0.077 0.742
Pt 0.500 0.742 0.077

Calculated values
Final energy   -41.38 eV/cell
SG   Amm2

Record 14
A relaxed RbHoAg crystal, computed with PBE.

Lattice parameters (Å, degrees): 7.550 7.550 7.550 90.00 90.00 90.00
Positions (direct):
Rb 0.000 0.000 0.000
Rb 0.000 0.500 0.500
Rb 0.500 0.000 0.500
Rb 0.500 0.500 0.000
Ho 0.250 0.250 0.750
Ho 0.250 0.750 0.250
Ho 0.750 0.250 0.250
Ho 0.750 0.750 0.750
Ag 0.000 0.000 0.500
Ag 0.000 0.500 0.000
Ag 0.500 0.000 0.000
Ag 0.500 0.500 0.500

Calculated values
Final energy   -23.94 eV/cell
SG   F-43m

Record 15
A relaxed Ho2AgS3 crystal, computed with PBE.

Lattice parameters (Å, degrees): 8.576 3.766 15.474 90.00 90.00 90.00
Positions (direct):
Ho 0.129 0.250 0.212
Ho 0.166 0.250 0.943
Ho 0.334 0.750 0.443
Ho 0.371 0.750 0.712
Ho 0.629 0.250 0.288
Ho 0.666 0.250 0.557
Ho 0.834 0.750 0.057
Ho 0.871 0.750 0.788
Ag 0.055 0.250 0.567
Ag 0.445 0.750 0.067
Ag 0.555 0.250 0.933
Ag 0.945 0.750 0.433
S 0.115 0.250 0.765
S 0.132 0.250 0.387
S 0.150 0.750 0.076
S 0.350 0.250 0.576
S 0.368 0.750 0.887
S 0.385 0.750 0.265
S 0.615 0.250 0.735
S 0.632 0.250 0.113
S 0.650 0.750 0.424
S 0.850 0.250 0.924
S 0.868 0.750 0.613
S 0.885 0.750 0.235

Calculated values
Final energy   -132.22 eV/cell
SG   Pnma

Record 16
A relaxed HoAgSnSeS2 crystal, computed with PBE.

Lattice parameters (Å, degrees): 6.931 6.931 10.614 90.00 90.00 146.67
Positions (direct):
Ho 0.000 0.000 0.000
Ho 0.000 0.000 0.500
Ag 0.460 0.540 0.750
Ag 0.540 0.460 0.250
Sn 0.239 0.761 0.250
Sn 0.761 0.239 0.750
Se 0.098 0.902 0.750
Se 0.902 0.098 0.250
S 0.362 0.638 0.552
S 0.362 0.638 0.948
S 0.638 0.362 0.052
S 0.638 0.362 0.448

Calculated values
Final energy   -57.28 eV/cell
SG   Cmcm

Record 17
A relaxed HoAgSnSe2S crystal, computed with PBE.

Lattice parameters (Å, degrees): 7.093 7.093 10.268 90.00 90.00 146.59
Positions (direct):
Ho 0.000 0.000 0.000
Ho 0.000 0.000 0.500
Ag 0.470 0.530 0.750
Ag 0.530 0.470 0.250
Sn 0.261 0.739 0.250
Sn 0.739 0.261 0.750
Se 0.353 0.647 0.550
Se 0.353 0.647 0.950
Se 0.647 0.353 0.050
Se 0.647 0.353 0.450
S 0.086 0.914 0.750
S 0.914 0.086 0.250

Calculated values
Final energy   -55.97 eV/cell
SG   Cmcm

Record 18
A relaxed SrHoAgSeS2 crystal, computed with PBE.

Lattice parameters (Å, degrees): 7.123 7.123 10.619 90.00 90.00 146.92
Positions (direct):
Sr 0.233 0.767 0.750
Sr 0.767 0.233 0.250
Ho 0.000 0.000 0.000
Ho 0.000 0.000 0.500
Ag 0.475 0.525 0.250
Ag 0.525 0.475 0.750
Se 0.098 0.902 0.250
Se 0.902 0.098 0.750
S 0.368 0.632 0.059
S 0.368 0.632 0.441
S 0.632 0.368 0.559
S 0.632 0.368 0.941

Calculated values
Final energy   -60.19 eV/cell
SG   Cmcm

Record 19
A relaxed HoAgSnS3 crystal, computed with PBE.

Lattice parameters (Å, degrees): 11.916 3.923 12.452 90.00 90.00 90.00
Positions (direct):
Ho 0.015 0.250 0.150
Ho 0.485 0.750 0.650
Ho 0.515 0.250 0.350
Ho 0.985 0.750 0.850
Ag 0.199 0.750 0.389
Ag 0.301 0.250 0.889
Ag 0.699 0.750 0.111
Ag 0.801 0.250 0.611
Sn 0.170 0.250 0.581
Sn 0.330 0.750 0.081
Sn 0.670 0.250 0.919
Sn 0.830 0.750 0.419
S 0.014 0.750 0.306
S 0.105 0.250 0.949
S 0.246 0.250 0.200
S 0.254 0.750 0.700
S 0.395 0.750 0.449
S 0.486 0.250 0.806
S 0.514 0.750 0.194
S 0.605 0.250 0.551
S 0.746 0.250 0.300
S 0.754 0.750 0.800
S 0.895 0.750 0.051
S 0.986 0.250 0.694

Calculated values
Offset from the most stable computed form   0.0009 eV/atom
SG   Pnma

Record 20
A relaxed HoAgSnS3 crystal, computed with PBE.

Lattice parameters (Å, degrees): 6.814 6.814 10.345 90.00 90.00 145.99
Positions (direct):
Ho 0.000 0.000 0.000
Ho 0.000 0.000 0.500
Ag 0.459 0.541 0.750
Ag 0.541 0.459 0.250
Sn 0.256 0.744 0.250
Sn 0.744 0.256 0.750
S 0.089 0.911 0.750
S 0.359 0.641 0.548
S 0.359 0.641 0.952
S 0.641 0.359 0.048
S 0.641 0.359 0.452
S 0.911 0.089 0.250

Calculated values
Offset from the most stable computed form   0.0525 eV/atom
SG   Cmcm

Record 21
A relaxed HoAgSnS3 crystal, computed with PBE.

Lattice parameters (Å, degrees): 7.425 3.998 9.661 90.00 105.19 90.00
Positions (direct):
Ho 0.207 0.250 0.150
Ho 0.793 0.750 0.850
Ag 0.391 0.750 0.409
Ag 0.609 0.250 0.591
Sn 0.203 0.750 0.693
Sn 0.797 0.250 0.307
S 0.063 0.250 0.862
S 0.194 0.250 0.449
S 0.454 0.750 0.167
S 0.546 0.250 0.833
S 0.806 0.750 0.551
S 0.937 0.750 0.138

Calculated values
Offset from the most stable computed form   0.0417 eV/atom
SG   P2_1/m

Record 22
A relaxed HoAgSnS3 crystal, computed with PBE.

Lattice parameters (Å, degrees): 8.475 3.998 16.617 90.00 90.00 90.00
Positions (direct):
Ho 0.183 0.250 0.060
Ho 0.317 0.750 0.560
Ho 0.683 0.250 0.440
Ho 0.817 0.750 0.940
Ag 0.097 0.250 0.391
Ag 0.403 0.750 0.891
Ag 0.597 0.250 0.109
Ag 0.903 0.750 0.609
Sn 0.162 0.250 0.760
Sn 0.338 0.750 0.260
Sn 0.662 0.250 0.740
Sn 0.838 0.750 0.240
S 0.099 0.250 0.604
S 0.129 0.250 0.222
S 0.136 0.750 0.951
S 0.364 0.250 0.451
S 0.371 0.750 0.722
S 0.401 0.750 0.104
S 0.599 0.250 0.896
S 0.629 0.250 0.278
S 0.636 0.750 0.549
S 0.864 0.250 0.049
S 0.871 0.750 0.778
S 0.901 0.750 0.396

Calculated values
Offset from the most stable computed form   0.0058 eV/atom
SG   Pnma